1.
Material: CaPt2
Method: DFT, PBE-GGA
State: optimized geometry

Raw total energy: -5.33 eV per atom
Density of states at the Fermi level: 4.0 states/eV per cell
ΔE_f: -0.639 eV per atom
Total magnetic moment: 0.00 Bohr magnetons per cell
Crystal system: monoclinic

Lattice parameters (Å, degrees): 5.1508 5.1508 5.8111 107.04 107.04 48.97
Last column: nearest neighbours and their distance in Å.
Sites, in units of the cell vectors:
Ca  0.1500  0.1500  0.3195  10 Pt 2.84-3.11, 2 Ca 3.15
Ca  0.8500  0.8500  0.6805  10 Pt 2.84-3.11, 2 Ca 3.15
Pt  0.1771  0.1771  0.8471  7 Pt 2.83-3.04, 5 Ca 2.84-3.02
Pt  0.5000  0.5000  0.0000  8 Pt 2.87-3.01, 4 Ca 2.88
Pt  0.5000  0.5000  0.5000  6 Pt 2.91-3.04, 6 Ca 2.93-3.11
Pt  0.8229  0.8229  0.1529  7 Pt 2.83-3.04, 5 Ca 2.84-3.02

2.
Material: Au3Br
Method: DFT, PBE-GGA
State: optimized geometry

Raw total energy: -2.50 eV per atom
Density of states at the Fermi level: 0.3 states/eV per cell
Total magnetic moment: 0.00 Bohr magnetons per cell
E_form (uncorrected): 0.378 eV/atom
Crystal system: cubic

Lattice parameters (Å, degrees): 4.8375 4.8375 4.8375 60.00 60.00 60.00
Last column: nearest neighbours and their distance in Å.
Sites, in units of the cell vectors:
Au  0.0000  0.0000  0.0000  8 Au 2.96
Au  0.2500  0.2500  0.2500  4 Br 2.96, 4 Au 2.96
Au  0.7500  0.7500  0.7500  4 Au 2.96, 4 Br 2.96
Br  0.5000  0.5000  0.5000  8 Au 2.96

3.
Material: Li12ZnAu6
Method: DFT, PBE-GGA
State: optimized geometry

Raw total energy: -2.72 eV per atom
Density of states at the Fermi level: 5.0 states/eV per cell
ΔE_f: -0.410 eV per atom
Total magnetic moment: 0.00 Bohr magnetons per cell
Crystal system: trigonal

Lattice parameters (Å, degrees): 6.8341 6.8341 6.8341 90.09 90.09 90.09
Last column: nearest neighbours and their distance in Å.
Sites, in units of the cell vectors:
Li  0.0239  0.3087  0.9240  4 Au 2.67-2.75, 5 Li 2.80-2.97
Li  0.0760  0.9761  0.6913  4 Au 2.67-2.75, 5 Li 2.80-2.97
Li  0.1196  0.3496  0.4751  3 Li 2.65-2.97, 4 Au 2.71-2.90, 1 Zn 2.80
Li  0.3087  0.9240  0.0239  4 Au 2.67-2.75, 5 Li 2.80-2.97
Li  0.3496  0.4751  0.1196  3 Li 2.65-2.97, 4 Au 2.71-2.90, 1 Zn 2.80
Li  0.4751  0.1196  0.3496  3 Li 2.65-2.97, 4 Au 2.71-2.90, 1 Zn 2.80
Li  0.5249  0.8804  0.6504  3 Li 2.65-2.97, 4 Au 2.71-2.90, 1 Zn 2.80
Li  0.6504  0.5249  0.8804  3 Li 2.65-2.97, 4 Au 2.71-2.90, 1 Zn 2.80
Li  0.6913  0.0760  0.9761  4 Au 2.67-2.75, 5 Li 2.80-2.97
Li  0.8804  0.6504  0.5249  3 Li 2.65-2.97, 4 Au 2.71-2.90, 1 Zn 2.80
Li  0.9240  0.0239  0.3087  4 Au 2.67-2.75, 5 Li 2.80-2.97
Li  0.9761  0.6913  0.0760  4 Au 2.67-2.75, 5 Li 2.80-2.97
Zn  0.5000  0.5000  0.5000  6 Au 2.79, 6 Li 2.80
Au  0.2237  0.6240  0.7743  8 Li 2.67-2.90, 1 Zn 2.79, 2 Au 2.92
Au  0.2257  0.7763  0.3760  8 Li 2.67-2.90, 1 Zn 2.79, 2 Au 2.92
Au  0.3760  0.2257  0.7763  8 Li 2.67-2.90, 1 Zn 2.79, 2 Au 2.92
Au  0.6240  0.7743  0.2237  8 Li 2.67-2.90, 1 Zn 2.79, 2 Au 2.92
Au  0.7743  0.2237  0.6240  8 Li 2.67-2.90, 1 Zn 2.79, 2 Au 2.92
Au  0.7763  0.3760  0.2257  8 Li 2.67-2.90, 1 Zn 2.79, 2 Au 2.92

Question: density of states at the Fermi level of number 3 (Li12ZnAu6)?
Answer: 5.0 states/eV per cell

Copy entry 1 word for word.
Material: CaPt2
Method: DFT, PBE-GGA
State: optimized geometry

Raw total energy: -5.33 eV per atom
Density of states at the Fermi level: 4.0 states/eV per cell
ΔE_f: -0.639 eV per atom
Total magnetic moment: 0.00 Bohr magnetons per cell
Crystal system: monoclinic

Lattice parameters (Å, degrees): 5.1508 5.1508 5.8111 107.04 107.04 48.97
Last column: nearest neighbours and their distance in Å.
Sites, in units of the cell vectors:
Ca  0.1500  0.1500  0.3195  10 Pt 2.84-3.11, 2 Ca 3.15
Ca  0.8500  0.8500  0.6805  10 Pt 2.84-3.11, 2 Ca 3.15
Pt  0.1771  0.1771  0.8471  7 Pt 2.83-3.04, 5 Ca 2.84-3.02
Pt  0.5000  0.5000  0.0000  8 Pt 2.87-3.01, 4 Ca 2.88
Pt  0.5000  0.5000  0.5000  6 Pt 2.91-3.04, 6 Ca 2.93-3.11
Pt  0.8229  0.8229  0.1529  7 Pt 2.83-3.04, 5 Ca 2.84-3.02